Entry 1:
This record from Alexandria describes an optimized crystal structure of Mn5SiP2. The functional is PBE.

a b c (Å): 2.948 5.687 6.365
angles (deg): 116.53 103.39 90.00
Sites, in units of the cell vectors:
Mn (0.629, 0.881, 0.258)
Mn (0.629, 0.376, 0.258)
Mn (0.371, 0.119, 0.742)
Mn (0.000, 0.500, 0.000)
Mn (0.371, 0.624, 0.742)
P (0.786, 0.286, 0.572)
P (0.214, 0.714, 0.428)
Si (0.000, 0.000, 0.000)

## Properties
ΔE_f (raw): -423 meV/atom
calculated total energy: -8.18 eV/atom
V: 11.53 A^3/atom

---

Entry 2:
This record from Alexandria describes an optimized crystal structure of MnSi2P. The functional is PBE.

a b c (Å): 3.605 5.109 3.605
angles (deg): 70.38 87.25 109.63
Sites, in units of the cell vectors:
Mn (0.000, 0.500, 0.500)
Si (0.500, 0.000, 0.500)
Si (0.000, 0.000, 0.000)
P (0.500, 0.500, 0.000)

## Properties
ΔE_f (raw): 130 meV/atom
calculated total energy: -6.23 eV/atom
V: 14.48 A^3/atom

---

Entry 3:
This record from Alexandria describes an optimized crystal structure of MnSiP. The functional is PBE.

a b c (Å): 2.880 2.880 5.186
angles (deg): 90.00 90.00 120.00
Sites, in units of the cell vectors:
Si (0.667, 0.333, 0.682)
Mn (0.000, 0.000, 0.011)
P (0.333, 0.667, 0.307)

## Properties
ΔE_f (raw): -186 meV/atom
excess energy over the best structure of this formula in the dataset: 96 meV per atom
calculated total energy: -6.85 eV/atom
V: 12.42 A^3/atom

---

Entry 4:
This record from Alexandria describes an optimized crystal structure of TaMn2SiP. The functional is PBE.

a b c (Å): 4.729 4.837 4.729
angles (deg): 90.00 90.00 90.00
Sites, in units of the cell vectors:
Ta (0.000, 0.000, 0.000)
P (0.500, 0.500, 0.500)
Mn (0.000, 0.000, 0.500)
Mn (0.500, 0.000, 0.000)
Si (0.000, 0.500, 0.000)

## Properties
ΔE_f (raw): 1440 meV/atom
calculated total energy: -6.76 eV/atom
V: 21.63 A^3/atom

---

Entry 5:
This record from Alexandria describes an optimized crystal structure of MnSiTe2P. The functional is PBE.

a b c (Å): 5.225 4.391 5.225
angles (deg): 90.00 90.00 90.00
Sites, in units of the cell vectors:
Te (0.000, 0.000, 0.500)
Te (0.500, 0.000, 0.000)
P (0.500, 0.500, 0.500)
Mn (0.000, 0.500, 0.000)
Si (0.000, 0.000, 0.000)

## Properties
ΔE_f (raw): 1189 meV/atom
calculated total energy: -4.07 eV/atom
V: 23.98 A^3/atom

---

Entry 6:
This record from Alexandria describes an optimized crystal structure of ThMn2Si2P. The functional is PBE.

a b c (Å): 4.194 4.194 5.474
angles (deg): 90.00 90.00 90.00
Sites, in units of the cell vectors:
Th (0.000, 0.000, 0.500)
Mn (0.500, 0.000, 0.000)
Mn (0.000, 0.500, 0.000)
Si (0.500, 0.500, 0.270)
Si (0.500, 0.500, 0.730)
P (0.000, 0.000, 0.000)

## Properties
ΔE_f (raw): -418 meV/atom
calculated total energy: -7.42 eV/atom
V: 16.05 A^3/atom

---

Entry 7:
This record from Alexandria describes an optimized crystal structure of UMn2Si2P. The functional is PBE.

a b c (Å): 4.216 4.216 5.232
angles (deg): 90.00 90.00 90.00
Sites, in units of the cell vectors:
Mn (0.500, 0.000, 0.000)
Mn (0.000, 0.500, 0.000)
P (0.000, 0.000, 0.000)
Si (0.500, 0.500, 0.728)
Si (0.500, 0.500, 0.272)
U (0.000, 0.000, 0.500)

## Properties
ΔE_f (raw): -276 meV/atom
calculated total energy: -7.92 eV/atom
V: 15.50 A^3/atom

---

Entry 8:
This record from Alexandria describes an optimized crystal structure of MnSiP2W. The functional is PBE.

a b c (Å): 4.409 3.988 4.409
angles (deg): 90.00 90.00 90.00
Sites, in units of the cell vectors:
W (0.500, 0.500, 0.500)
P (0.500, 0.000, 0.000)
P (0.000, 0.000, 0.500)
Mn (0.000, 0.500, 0.000)
Si (0.000, 0.000, 0.000)

## Properties
ΔE_f (raw): 1366 meV/atom
calculated total energy: -6.31 eV/atom
V: 15.51 A^3/atom

---

Entry 9:
This record from Alexandria describes an optimized crystal structure of YMnSiP2. The functional is PBE.

a b c (Å): 4.575 5.279 4.575
angles (deg): 90.00 90.00 90.00
Sites, in units of the cell vectors:
Si (0.000, 0.000, 0.000)
Mn (0.500, 0.500, 0.500)
P (0.000, 0.000, 0.500)
P (0.500, 0.000, 0.000)
Y (0.000, 0.500, 0.000)

## Properties
ΔE_f (raw): 606 meV/atom
calculated total energy: -5.77 eV/atom
V: 22.09 A^3/atom

---

Entry 10:
This record from Alexandria describes an optimized crystal structure of YMn2SiP. The functional is PBE.

a b c (Å): 4.192 5.170 4.192
angles (deg): 90.00 90.00 90.00
Sites, in units of the cell vectors:
Y (0.000, 0.500, 0.000)
Mn (0.500, 0.000, 0.000)
Mn (0.000, 0.000, 0.500)
Si (0.500, 0.500, 0.500)
P (0.000, 0.000, 0.000)

## Properties
ΔE_f (raw): 269 meV/atom
calculated total energy: -6.86 eV/atom
V: 18.17 A^3/atom

---

Entry 11:
This record from Alexandria describes an optimized crystal structure of Sm2Mn12P7. The functional is PBE.

a b c (Å): 9.339 9.339 3.631
angles (deg): 90.00 90.00 120.00
Sites, in units of the cell vectors:
Mn (0.393, 0.438, 0.000)
Mn (0.155, 0.275, 0.500)
Mn (0.044, 0.607, 0.000)
Mn (0.725, 0.881, 0.500)
Mn (0.562, 0.956, 0.000)
Mn (0.878, 0.773, 0.000)
Mn (0.423, 0.048, 0.500)
Mn (0.625, 0.577, 0.500)
Mn (0.119, 0.845, 0.500)
Mn (0.895, 0.122, 0.000)
Mn (0.227, 0.105, 0.000)
Mn (0.952, 0.375, 0.500)
P (0.279, 0.875, 0.000)
P (0.125, 0.404, 0.000)
P (0.884, 0.591, 0.500)
P (0.596, 0.721, 0.000)
P (0.000, 0.000, 0.500)
P (0.708, 0.116, 0.500)
P (0.409, 0.292, 0.500)
Sm (0.333, 0.667, 0.500)
Sm (0.667, 0.333, 0.000)

## Properties
formation energy: -671 meV/atom
calculated total energy: -8.16 eV/atom
V: 13.06 A^3/atom

---

Entry 12:
This record from Alexandria describes an optimized crystal structure of SmMn4P12. The functional is PBE.

a b c (Å): 6.874 6.874 6.874
angles (deg): 109.47 109.47 109.47
Sites, in units of the cell vectors:
P (0.647, 0.500, 0.853)
P (0.794, 0.147, 0.647)
P (0.853, 0.647, 0.500)
P (0.147, 0.647, 0.794)
P (0.500, 0.853, 0.647)
P (0.353, 0.500, 0.147)
P (0.353, 0.206, 0.853)
P (0.206, 0.853, 0.353)
P (0.853, 0.353, 0.206)
P (0.647, 0.794, 0.147)
P (0.500, 0.147, 0.353)
P (0.147, 0.353, 0.500)
Mn (0.000, 0.000, 0.500)
Mn (0.500, 0.000, 0.000)
Mn (0.000, 0.500, 0.000)
Mn (0.500, 0.500, 0.500)
Sm (0.000, 0.000, 0.000)

## Properties
formation energy: -459 meV/atom
calculated total energy: -6.71 eV/atom
V: 14.71 A^3/atom